DFT (GGA-PBEsol) results for a relaxed K2AlSi crystal.

Unit cell a=4.252 b=4.252 c=9.730 alpha=77.38 beta=77.38 gamma=60.00
Fractional positions:
K1 0.967 0.967 0.098
K2 0.783 0.783 0.652
Si1 0.542 0.542 0.375
Al1 0.208 0.208 0.375

The calculated density comes out at 1.50 g/cm³. Its magnetic moment is 0.00 μB per formula unit. The calculation puts the energy relative to the elements, uncorrected at 3.4 meV per atom.

DFT (GGA-PBEsol) results for a relaxed K2AlSi crystal.

Unit cell a=4.302 b=4.302 c=12.170 alpha=100.18 beta=100.18 gamma=90.00
Fractional positions:
K1 0.370 0.875 0.250
K2 0.880 0.375 0.250
K3 0.125 0.120 0.750
K4 0.625 0.630 0.750
Si1 0.250 0.750 0.500
Si2 0.000 0.000 0.000
Al1 0.750 0.250 0.500
Al2 0.500 0.500 0.000

The calculated density comes out at 2.03 g/cm³. Its magnetic moment is 0.00 μB per formula unit. The calculation puts the energy relative to the elements, uncorrected at 671.0 meV per atom.

DFT (GGA-PBEsol) results for a relaxed K2AlSi crystal.

Unit cell a=3.456 b=5.748 c=6.140 alpha=117.91 beta=90.00 gamma=90.00
Fractional positions:
K1 0.000 0.500 0.500
K2 0.000 0.000 0.500
Si1 0.500 0.000 0.000
Al1 0.500 0.500 0.000

The calculated density comes out at 2.05 g/cm³. Its magnetic moment is 0.00 μB per formula unit. The calculation puts the energy relative to the elements, uncorrected at 519.2 meV per atom.

DFT (GGA-PBEsol) results for a relaxed KAl2Si2 crystal.

Unit cell a=4.452 b=4.452 c=5.995 alpha=111.79 beta=111.79 gamma=90.00
Fractional positions:
K1 0.000 0.000 0.000
Si1 0.378 0.378 0.757
Si2 0.622 0.622 0.243
Al1 0.250 0.750 0.500
Al2 0.750 0.250 0.500

The calculated density comes out at 2.45 g/cm³. Its magnetic moment is 0.00 μB per formula unit. The calculation puts the energy relative to the elements, uncorrected at -22.5 meV per atom.

DFT (GGA-PBEsol) results for a relaxed KTi2AlSi crystal.

Unit cell a=4.772 b=4.944 c=4.944 alpha=90.00 beta=90.00 gamma=90.00
Fractional positions:
K1 0.500 0.500 0.500
Al1 0.000 0.000 0.000
Si1 0.500 0.000 0.000
Ti1 0.000 0.000 0.500
Ti2 0.000 0.500 0.000

The calculated density comes out at 2.70 g/cm³. Its magnetic moment is 2.25 μB per formula unit. The calculation puts the energy relative to the elements, uncorrected at 983.1 meV per atom.

DFT (GGA-PBEsol) results for a relaxed KAl2Sn2 crystal.

Unit cell a=4.828 b=4.828 c=6.674 alpha=111.20 beta=111.20 gamma=90.00
Fractional positions:
K1 0.000 0.000 0.000
Sn1 0.373 0.373 0.745
Sn2 0.627 0.627 0.255
Al1 0.250 0.750 0.500
Al2 0.750 0.250 0.500

The calculated density comes out at 4.10 g/cm³. Its magnetic moment is 0.00 μB per formula unit. As for the formation energy: -0.059 eV/atom.